# 1
VASP calculation (PBE) on crystalline HoSi3Ir2 at its relaxed geometry.

a b c (Å): 7.8532 7.8532 7.5258
angles (deg): 118.62 118.62 29.77
With the nearest neighbours (Å) after each atom.
Sites, in units of the cell vectors:
1 Ho 0.1394 0.1394 0.1397  8 Si 2.97-3.17, 6 Ir 3.04-3.08
2 Ho 0.8606 0.8606 0.8603  8 Si 2.97-3.17, 6 Ir 3.04-3.08
3 Si 0.9997 0.9997 0.3433  1 Si 2.35, 2 Ir 2.37
4 Si 0.0003 0.0003 0.6567  1 Si 2.35, 2 Ir 2.37
5 Si 0.3359 0.3359 0.1421  3 Ir 2.36-2.50
6 Si 0.3362 0.3362 0.5295  3 Ir 2.36-2.50
7 Si 0.6638 0.6638 0.4705  3 Ir 2.36-2.50
8 Si 0.6641 0.6641 0.8579  3 Ir 2.36-2.50
9 Ir 0.1836 0.1836 0.6832  6 Si 2.50-2.69
10 Ir 0.4998 0.4998 0.1792  4 Si 2.36-2.37
11 Ir 0.5002 0.5002 0.8208  4 Si 2.36-2.37
12 Ir 0.8164 0.8164 0.3168  6 Si 2.50-2.69

Values from the calculation:
ΔE_f (raw): -4.00 eV/f.u.
symmetry: C2/m, No. 12

# 2
VASP calculation (PBE) on crystalline NaFeGe3 at its relaxed geometry.

a b c (Å): 4.7020 4.7020 4.7020
angles (deg): 90.00 90.00 90.00
With the nearest neighbours (Å) after each atom.
Sites, in units of the cell vectors:
1 Na 0.0000 0.0000 0.0000  12 Ge 3.32
2 Fe 0.5000 0.5000 0.5000  6 Ge 2.35
3 Ge 0.0000 0.5000 0.5000  2 Fe 2.35
4 Ge 0.5000 0.0000 0.5000  2 Fe 2.35
5 Ge 0.5000 0.5000 0.0000  2 Fe 2.35

Values from the calculation:
formation energy from the elements: 0.1799 eV per atom
symmetry: Pm-3m, No. 221

Number 1: total magnetic moment 0.00 μB per cell, total energy -7.09 eV per atom. Number 2: total magnetic moment 0.00 μB per cell, total energy -4.55 eV per atom.